DFT (GGA-PBE) results for a geometry-optimized La6CdIr2Br3 structure.

```
data_La6CdIr2Br3
_chemical_formula_sum 'La6 Cd1 Ir2 Br3'
_space_group_name_H-M_alt 'P 1'
_space_group_IT_number 1
_cell_length_a 7.4881
_cell_length_b 7.4881
_cell_length_c 8.2915
_cell_angle_alpha 98.73
_cell_angle_beta 98.73
_cell_angle_gamma 119.99
loop_
_space_group_symop_operation_xyz
'x,y,z'
loop_
_atom_site_label
_atom_site_fract_x
_atom_site_fract_y
_atom_site_fract_z
_atom_site_occupancy
Br1 0.8370 0.1630 0.5000 1
Br2 0.5000 0.5000 0.5000 1
Br3 0.1630 0.8370 0.5000 1
La1 0.2980 0.2980 0.7951 1
La2 0.9311 0.5642 0.7947 1
La3 0.4358 0.0689 0.2053 1
La4 0.0689 0.4358 0.2053 1
La5 0.5642 0.9311 0.7947 1
La6 0.7020 0.7020 0.2049 1
Ir1 0.3332 0.6668 0.0000 1
Ir2 0.6668 0.3332 0.0000 1
Cd1 0.0000 0.0000 0.0000 1
```

Output
symmetry	No. 12

DFT (GGA-PBE) results for a geometry-optimized CdMo2IrBr structure.

```
data_CdMo2IrBr
_chemical_formula_sum 'Cd1 Mo2 Ir1 Br1'
_space_group_name_H-M_alt 'P 1'
_space_group_IT_number 1
_cell_length_a 4.5576
_cell_length_b 4.9924
_cell_length_c 4.5576
_cell_angle_alpha 90.00
_cell_angle_beta 90.00
_cell_angle_gamma 90.00
loop_
_space_group_symop_operation_xyz
'x,y,z'
loop_
_atom_site_label
_atom_site_fract_x
_atom_site_fract_y
_atom_site_fract_z
_atom_site_occupancy
Mo1 0.5000 0.0000 0.0000 1
Mo2 0.0000 0.0000 0.5000 1
Cd1 0.0000 0.5000 0.0000 1
Br1 0.0000 0.0000 0.0000 1
Ir1 0.5000 0.5000 0.5000 1
```

Output
symmetry	No. 123

DFT (GGA-PBE) results for a geometry-optimized Cd2IrBrN structure.

```
data_Cd2IrBrN
_chemical_formula_sum 'Cd2 Ir1 Br1 N1'
_space_group_name_H-M_alt 'P 1'
_space_group_IT_number 1
_cell_length_a 5.4364
_cell_length_b 3.7178
_cell_length_c 5.4364
_cell_angle_alpha 90.00
_cell_angle_beta 90.00
_cell_angle_gamma 90.00
loop_
_space_group_symop_operation_xyz
'x,y,z'
loop_
_atom_site_label
_atom_site_fract_x
_atom_site_fract_y
_atom_site_fract_z
_atom_site_occupancy
Br1 0.5000 0.5000 0.5000 1
N1 0.0000 0.5000 0.0000 1
Ir1 0.0000 0.0000 0.0000 1
Cd1 0.5000 0.0000 0.0000 1
Cd2 0.0000 0.0000 0.5000 1
```

Output
symmetry	No. 123

DFT (GGA-PBE) results for a geometry-optimized Na2CdIrBr structure.

```
data_Na2CdIrBr
_chemical_formula_sum 'Na2 Cd1 Ir1 Br1'
_space_group_name_H-M_alt 'P 1'
_space_group_IT_number 1
_cell_length_a 5.4648
_cell_length_b 4.7225
_cell_length_c 5.4648
_cell_angle_alpha 90.00
_cell_angle_beta 90.00
_cell_angle_gamma 90.00
loop_
_space_group_symop_operation_xyz
'x,y,z'
loop_
_atom_site_label
_atom_site_fract_x
_atom_site_fract_y
_atom_site_fract_z
_atom_site_occupancy
Br1 0.0000 0.0000 0.0000 1
Na1 0.0000 0.0000 0.5000 1
Na2 0.5000 0.0000 0.0000 1
Cd1 0.5000 0.5000 0.5000 1
Ir1 0.0000 0.5000 0.0000 1
```

Output
symmetry	No. 123

DFT (GGA-PBE) results for a geometry-optimized CdPIr2Br structure.

```
data_CdPIr2Br
_chemical_formula_sum 'Cd1 P1 Ir2 Br1'
_space_group_name_H-M_alt 'P 1'
_space_group_IT_number 1
_cell_length_a 4.3340
_cell_length_b 6.2274
_cell_length_c 4.3340
_cell_angle_alpha 90.00
_cell_angle_beta 90.00
_cell_angle_gamma 90.00
loop_
_space_group_symop_operation_xyz
'x,y,z'
loop_
_atom_site_label
_atom_site_fract_x
_atom_site_fract_y
_atom_site_fract_z
_atom_site_occupancy
Ir1 0.0000 0.0000 0.5000 1
Ir2 0.5000 0.0000 0.0000 1
P1 0.0000 0.0000 0.0000 1
Cd1 0.0000 0.5000 0.0000 1
Br1 0.5000 0.5000 0.5000 1
```

Output
symmetry	No. 123

DFT (GGA-PBE) results for a geometry-optimized CdIrPb2Br structure.

```
data_CdIrPb2Br
_chemical_formula_sum 'Cd1 Ir1 Pb2 Br1'
_space_group_name_H-M_alt 'P 1'
_space_group_IT_number 1
_cell_length_a 5.2577
_cell_length_b 5.2577
_cell_length_c 5.3459
_cell_angle_alpha 90.00
_cell_angle_beta 90.00
_cell_angle_gamma 90.00
loop_
_space_group_symop_operation_xyz
'x,y,z'
loop_
_atom_site_label
_atom_site_fract_x
_atom_site_fract_y
_atom_site_fract_z
_atom_site_occupancy
Ir1 0.0000 0.0000 0.0000 1
Pb1 0.0000 0.5000 0.0000 1
Pb2 0.5000 0.0000 0.0000 1
Cd1 0.0000 0.0000 0.5000 1
Br1 0.5000 0.5000 0.5000 1
```

Output
symmetry	No. 123

DFT (GGA-PBE) results for a geometry-optimized Pr6CdIr2Br3 structure.

```
data_Pr6CdIr2Br3
_chemical_formula_sum 'Pr6 Cd1 Ir2 Br3'
_space_group_name_H-M_alt 'P 1'
_space_group_IT_number 1
_cell_length_a 7.4271
_cell_length_b 7.4271
_cell_length_c 8.2350
_cell_angle_alpha 98.63
_cell_angle_beta 98.63
_cell_angle_gamma 120.08
loop_
_space_group_symop_operation_xyz
'x,y,z'
loop_
_atom_site_label
_atom_site_fract_x
_atom_site_fract_y
_atom_site_fract_z
_atom_site_occupancy
Br1 0.1658 0.8342 0.5000 1
Br2 0.5000 0.5000 0.5000 1
Br3 0.8342 0.1658 0.5000 1
Pr1 0.7022 0.7022 0.2049 1
Pr2 0.5660 0.9318 0.7950 1
Pr3 0.9318 0.5660 0.7950 1
Pr4 0.4340 0.0682 0.2050 1
Pr5 0.0682 0.4340 0.2050 1
Pr6 0.2978 0.2978 0.7951 1
Cd1 0.0000 0.0000 0.0000 1
Ir1 0.3333 0.6667 0.0000 1
Ir2 0.6667 0.3333 0.0000 1
```

Output
symmetry	No. 12

DFT (GGA-PBE) results for a geometry-optimized RbCdIrBr6 structure.

```
data_RbCdIrBr6
_chemical_formula_sum 'Rb1 Cd1 Ir1 Br6'
_space_group_name_H-M_alt 'P 1'
_space_group_IT_number 1
_cell_length_a 6.9956
_cell_length_b 6.9957
_cell_length_c 7.6578
_cell_angle_alpha 90.00
_cell_angle_beta 90.00
_cell_angle_gamma 60.00
loop_
_space_group_symop_operation_xyz
'x,y,z'
loop_
_atom_site_label
_atom_site_fract_x
_atom_site_fract_y
_atom_site_fract_z
_atom_site_occupancy
Br1 0.6178 0.0334 0.3094 1
Br2 0.0334 0.6179 0.6906 1
Br3 0.3487 0.0335 0.6906 1
Br4 0.3487 0.6178 0.3094 1
Br5 0.0334 0.3487 0.3094 1
Br6 0.6178 0.3487 0.6906 1
Rb1 0.0000 0.0000 0.0000 1
Ir1 0.3333 0.3333 0.5000 1
Cd1 0.6666 0.6667 0.5000 1
```

Output
symmetry	No. 149

DFT (GGA-PBE) results for a geometry-optimized CdIrRhBr2 structure.

```
data_CdIrRhBr2
_chemical_formula_sum 'Cd1 Ir1 Rh1 Br2'
_space_group_name_H-M_alt 'P 1'
_space_group_IT_number 1
_cell_length_a 5.1656
_cell_length_b 5.3464
_cell_length_c 5.1656
_cell_angle_alpha 90.00
_cell_angle_beta 90.00
_cell_angle_gamma 90.00
loop_
_space_group_symop_operation_xyz
'x,y,z'
loop_
_atom_site_label
_atom_site_fract_x
_atom_site_fract_y
_atom_site_fract_z
_atom_site_occupancy
Br1 0.0000 0.0000 0.5000 1
Br2 0.5000 0.0000 0.0000 1
Ir1 0.5000 0.5000 0.5000 1
Cd1 0.0000 0.0000 0.0000 1
Rh1 0.0000 0.5000 0.0000 1
```

Output
symmetry	No. 123

DFT (GGA-PBE) results for a geometry-optimized Cd2IrRuBr structure.

```
data_Cd2IrRuBr
_chemical_formula_sum 'Cd2 Ir1 Ru1 Br1'
_space_group_name_H-M_alt 'P 1'
_space_group_IT_number 1
_cell_length_a 5.1093
_cell_length_b 4.5102
_cell_length_c 5.1093
_cell_angle_alpha 90.00
_cell_angle_beta 90.00
_cell_angle_gamma 90.00
loop_
_space_group_symop_operation_xyz
'x,y,z'
loop_
_atom_site_label
_atom_site_fract_x
_atom_site_fract_y
_atom_site_fract_z
_atom_site_occupancy
Cd1 0.0000 0.0000 0.5000 1
Cd2 0.5000 0.0000 0.0000 1
Br1 0.0000 0.0000 0.0000 1
Ru1 0.0000 0.5000 0.0000 1
Ir1 0.5000 0.5000 0.5000 1
```

Output
symmetry	No. 123

DFT (GGA-PBE) results for a geometry-optimized CdIrSeBr2 structure.

```
data_CdIrSeBr2
_chemical_formula_sum 'Cd1 Ir1 Se1 Br2'
_space_group_name_H-M_alt 'P 1'
_space_group_IT_number 1
_cell_length_a 5.2789
_cell_length_b 5.2789
_cell_length_c 5.4393
_cell_angle_alpha 90.00
_cell_angle_beta 90.00
_cell_angle_gamma 90.00
loop_
_space_group_symop_operation_xyz
'x,y,z'
loop_
_atom_site_label
_atom_site_fract_x
_atom_site_fract_y
_atom_site_fract_z
_atom_site_occupancy
Ir1 0.5000 0.5000 0.5000 1
Cd1 0.0000 0.0000 0.0000 1
Br1 0.5000 0.0000 0.0000 1
Br2 0.0000 0.5000 0.0000 1
Se1 0.0000 0.0000 0.5000 1
```

Output
symmetry	No. 123
offset from the most stable computed form	0.921	eV per atom

DFT (GGA-PBE) results for a geometry-optimized CdIrSe2Br structure.

```
data_CdIrSe2Br
_chemical_formula_sum 'Cd1 Ir1 Se2 Br1'
_space_group_name_H-M_alt 'P 1'
_space_group_IT_number 1
_cell_length_a 4.9172
_cell_length_b 4.9172
_cell_length_c 5.2241
_cell_angle_alpha 90.00
_cell_angle_beta 90.00
_cell_angle_gamma 90.00
loop_
_space_group_symop_operation_xyz
'x,y,z'
loop_
_atom_site_label
_atom_site_fract_x
_atom_site_fract_y
_atom_site_fract_z
_atom_site_occupancy
Cd1 0.5000 0.5000 0.5000 1
Ir1 0.0000 0.0000 0.0000 1
Se1 0.5000 0.0000 0.0000 1
Se2 0.0000 0.5000 0.0000 1
Br1 0.0000 0.0000 0.5000 1
```

Output
symmetry	No. 123
offset from the most stable computed form	0.000	eV per atom

These records have E_form (uncorrected) values of -1.055, 1.912, -0.004, 0.321, 0.570, -0.140, -0.939, -0.784, 1.596, 1.663, 1.100, 0.277 eV per atom, in the order they appear.